Entry 1:
! GGA-PBE Ca3GaNi9Ge2, optimized geometry; values from VASP
&SYSTEM
  ibrav = 0, nat = 15, ntyp = 4
/
ATOMIC_SPECIES
Ni 58.69 Ni.upf
Ca 40.08 Ca.upf
Ga 69.72 Ga.upf
Ge 72.64 Ge.upf
CELL_PARAMETERS angstrom
5.998 0.000 0.000
-2.999 5.194 0.000
0.000 0.000 8.528
ATOMIC_POSITIONS angstrom
Ni -1.804 4.504 2.349
Ni 2.999 3.814 6.179
Ni 4.803 0.690 6.179
Ni 1.500 2.597 0.000
Ni 2.999 0.000 0.000
Ni 1.804 4.504 2.349
Ni 0.000 1.380 2.349
Ni -1.500 2.597 0.000
Ni 1.196 0.690 6.179
Ca 0.000 3.463 5.729
Ca 2.999 1.731 2.799
Ca 0.000 0.000 0.000
Ga 0.000 0.000 4.264
Ge 2.999 1.731 6.976
Ge 0.000 3.463 1.552
! - total DFT energy (no corrections) (eV/cell) = -71.30
! - energy of formation from the pure elements (kcal/mol of atoms) = -1.545
! - symmetry = No. 164
! - total magnetization (μB/cell) = 0.00
! - D(E_F) (states/eV per cell) = 13.6

Entry 2:
! GGA-PBE CsThB2O6, optimized geometry; values from VASP
&SYSTEM
  ibrav = 0, nat = 20, ntyp = 4
/
ATOMIC_SPECIES
B 10.81 B.upf
O 16.00 O.upf
Cs 132.91 Cs.upf
Th 232.04 Th.upf
CELL_PARAMETERS angstrom
6.767 0.195 -0.109
-0.635 6.740 -0.109
-1.885 -2.132 7.212
ATOMIC_POSITIONS angstrom
B 1.184 -0.527 5.484
B 3.063 5.331 1.509
B 3.973 2.627 5.115
B 0.274 2.177 1.879
O 1.762 0.116 6.576
O 3.406 1.975 4.024
O 3.076 3.149 6.014
O 2.486 4.688 0.418
O -1.443 2.518 5.390
O 3.618 -0.058 1.784
O 3.691 4.504 2.408
O 5.690 2.285 1.604
O 0.629 4.862 5.210
O 0.842 2.828 2.970
O 0.556 0.299 4.585
O 1.172 1.655 0.979
Cs 4.576 -0.716 5.300
Cs -0.328 5.519 1.694
Th 0.871 2.560 5.300
Th 3.376 2.244 1.694
! - total DFT energy (no corrections) (eV/cell) = -154.58
! - formation energy (no corrections) (eV per atom) = -2.591
! - symmetry = No. 15
! - total magnetization (μB/cell) = 2.02
! - D(E_F) (states/eV per cell) = 6.8